PrNiC | PBE | relaxed

Values from the calculation:
* crystal system: monoclinic
* total moment: 0.0 Bohr magnetons per cell
* energy relative to the lowest polymorph listed for this composition: 0.0 meV/atom

Cell lengths 4.192, 4.192, 6.587 Å; angles 74.00, 74.03, 79.03 degrees
Element x y z (fractional)
Pr 0.757 0.757 0.256
Pr 0.243 0.243 0.744
Ni 0.332 0.332 0.160
Ni 0.668 0.668 0.840
C 0.090 0.090 0.412
C 0.910 0.910 0.588

=====

Y2CrCuSb | PBE | relaxed

Values from the calculation:
* crystal system: tetragonal
* formation energy without anion corrections: 0.73 eV/atom
* total moment: 0.1 Bohr magnetons per cell

Cell lengths 5.229, 4.691, 5.229 Å; angles 90.00, 90.00, 90.00 degrees
Each line ends with the local moment (μB).
Element x y z (fractional)
Y 0.000 0.000 0.500  -0.01
Y 0.500 0.000 0.000  0.00
Sb 0.000 0.500 0.000  0.00
Cu 0.000 0.000 0.000  -0.01
Cr 0.500 0.500 0.500  -0.06

=====

EuHoTm | PBE | relaxed

Values from the calculation:
* crystal system: tetragonal
* total moment: 7.1 Bohr magnetons per cell
* energy relative to the lowest polymorph listed for this composition: 2.9 meV/atom

Cell lengths 3.612, 3.612, 8.079 Å; angles 102.92, 102.92, 90.00 degrees
Each line ends with the local moment (μB).
Element x y z (fractional)
Eu 0.000 0.000 0.001  -6.94
Tm 0.675 0.675 0.350  0.09
Ho 0.325 0.325 0.649  0.10

=====

HgI | PBE | relaxed

Values from the calculation:
* crystal system: triclinic
* formation energy without anion corrections: -0.24 eV/atom
* total moment: 0.0 Bohr magnetons per cell
* energy relative to the lowest polymorph listed for this composition: 2.7 meV/atom

Cell lengths 4.502, 6.690, 6.282 Å; angles 68.65, 76.30, 76.21 degrees
Element x y z (fractional)
Hg 0.704 0.892 0.871
Hg 0.296 0.108 0.129
I 0.741 0.311 0.322
I 0.259 0.689 0.678

=====

Tb2ZrIn | PBE | relaxed

Values from the calculation:
* crystal system: cubic
* total moment: 2.6 Bohr magnetons per cell
* energy relative to the lowest polymorph listed for this composition: 123.5 meV/atom

Cell lengths 5.357, 5.357, 5.357 Å; angles 60.00, 60.00, 60.00 degrees
Each line ends with the local moment (μB).
Element x y z (fractional)
Tb 0.250 0.250 0.250  0.38
Tb 0.750 0.750 0.750  0.38
Zr 0.000 0.000 0.000  1.11
In 0.500 0.500 0.500  -0.01

=====

HfMgNi3 | PBE | relaxed

Values from the calculation:
* crystal system: cubic
* total moment: 0.0 Bohr magnetons per cell
* energy relative to the lowest polymorph listed for this composition: 0.0 meV/atom

Cell lengths 4.286, 4.286, 4.286 Å; angles 90.00, 90.00, 90.00 degrees
Element x y z (fractional)
Ni 0.000 0.500 0.000
Ni 0.000 0.000 0.500
Ni 0.500 0.000 0.000
Mg 0.000 0.000 0.000
Hf 0.500 0.500 0.500

=====

AcAlPt | PBE | relaxed

Values from the calculation:
* crystal system: cubic
* total moment: 0.0 Bohr magnetons per cell
* energy relative to the lowest polymorph listed for this composition: 0.0 meV/atom

Cell lengths 6.768, 6.768, 6.768 Å; angles 90.00, 90.00, 90.00 degrees
Element x y z (fractional)
Ac 0.158 0.158 0.158
Ac 0.658 0.342 0.842
Ac 0.342 0.842 0.658
Ac 0.842 0.658 0.342
Al 0.345 0.655 0.155
Al 0.155 0.345 0.655
Al 0.655 0.155 0.345
Al 0.845 0.845 0.845
Pt 0.428 0.428 0.428
Pt 0.072 0.572 0.928
Pt 0.928 0.072 0.572
Pt 0.572 0.928 0.072

=====

BaAgO2 | PBE | relaxed

Values from the calculation:
* crystal system: trigonal
* formation energy without anion corrections: -1.25 eV/atom
* total moment: 1.0 Bohr magnetons per cell

Cell lengths 6.737, 6.737, 6.737 Å; angles 35.54, 35.54, 35.54 degrees
Each line ends with the local moment (μB).
Element x y z (fractional)
O 0.896 0.896 0.896  -0.33
O 0.104 0.104 0.104  -0.33
Ba 0.500 0.500 0.500  -0.02
Ag 0.000 0.000 0.000  -0.20

=====

MnFe2Br | PBE | relaxed

Values from the calculation:
* crystal system: tetragonal
* formation energy without anion corrections: 1.00 eV/atom
* total moment: 3.9 Bohr magnetons per cell
* energy relative to the lowest polymorph listed for this composition: 651.0 meV/atom

Cell lengths 5.629, 5.629, 6.047 Å; angles 62.26, 62.26, 90.00 degrees
Each line ends with the local moment (μB).
Element x y z (fractional)
Mn 0.500 0.500 0.000  -1.77
Mn 0.250 0.750 0.500  -1.77
Fe 0.592 0.125 0.250  1.81
Fe 0.158 0.625 0.250  1.82
Fe 0.375 0.408 0.750  1.89
Fe 0.875 0.842 0.750  1.79
Br 0.000 0.000 0.000  0.06
Br 0.750 0.250 0.500  0.06

=====

TbEuHoAl | PBE | relaxed

Values from the calculation:
* crystal system: cubic
* final energy: -23.3 eV/cell
* total moment: 7.4 Bohr magnetons per cell

Cell lengths 5.399, 5.399, 5.399 Å; angles 60.00, 60.00, 60.00 degrees
Each line ends with the local moment (μB).
Element x y z (fractional)
Eu 0.750 0.750 0.750  6.87
Tb 0.000 0.000 0.000  0.13
Ho 0.500 0.500 0.500  0.13
Al 0.250 0.250 0.250  -0.02

=====

RbIn12Sn7 | PBE | relaxed

Values from the calculation:
* crystal system: cubic
* total moment: 0.0 Bohr magnetons per cell
* energy relative to the lowest polymorph listed for this composition: 60.0 meV/atom

Cell lengths 9.650, 9.650, 9.650 Å; angles 109.47, 109.47, 109.47 degrees
Element x y z (fractional)
Rb 0.000 0.000 0.000
In 0.352 0.234 0.585
In 0.352 0.766 0.118
In 0.648 0.766 0.415
In 0.648 0.234 0.882
In 0.585 0.352 0.234
In 0.882 0.648 0.234
In 0.415 0.648 0.766
In 0.118 0.352 0.766
In 0.766 0.118 0.352
In 0.234 0.882 0.648
In 0.234 0.585 0.352
In 0.766 0.415 0.648
Sn 0.500 0.000 0.500
Sn 0.500 0.500 0.000
Sn 0.000 0.500 0.500
Sn 0.000 0.000 0.500
Sn 0.500 0.000 0.000
Sn 0.500 0.500 0.500
Sn 0.000 0.500 0.000

=====

Tc2B2I | PBE | relaxed

Values from the calculation:
* crystal system: tetragonal
* formation energy without anion corrections: 0.48 eV/atom
* total moment: 0.0 Bohr magnetons per cell
* energy relative to the lowest polymorph listed for this composition: 0.0 meV/atom

Cell lengths 3.100, 3.100, 7.172 Å; angles 77.52, 77.52, 90.00 degrees
Element x y z (fractional)
I 0.000 0.000 0.000
B 0.750 0.250 0.500
B 0.250 0.750 0.500
Tc 0.370 0.370 0.260
Tc 0.630 0.630 0.740